This record from the Alexandria database describes a geometry-optimized Na2VB structure. The functional is GGA-PBE.

abc: 9.6118 9.6118 7.1175
angles: 47.53 47.53 90.00
Each line ends with the local moment (μB).
Atoms (fractional coordinates):
V 0.0000 0.0000 0.0000  2.15
V 0.7500 0.2500 0.5000  2.15
Na 0.4820 0.1250 0.2500  0.00
Na 0.3750 0.5180 0.7500  0.00
Na 0.2680 0.6250 0.2500  0.00
Na 0.8750 0.7320 0.7500  0.00
B 0.5000 0.5000 0.0000  -0.12
B 0.2500 0.7500 0.5000  -0.12

Summary:
The symmetry is I-42d (122). The calculation puts the density of states at the Fermi level at 8.4 states/eV per cell. The energy relative to the elements is 1.0023 eV/atom. The raw total energy is -3.6062 eV/atom.

This record from the Alexandria database describes a geometry-optimized NaVB2 structure. The functional is GGA-PBE.

abc: 3.8099 3.8099 8.1480
angles: 76.48 76.48 90.00
Each line ends with the local moment (μB).
Atoms (fractional coordinates):
Na 0.2500 0.7500 0.5000  0.04
Na 0.5000 0.5000 0.0000  0.04
B 0.8752 0.6250 0.2500  -0.04
B 0.3750 0.1252 0.7500  -0.04
B 0.8748 0.1250 0.2500  -0.04
B 0.8750 0.1248 0.7500  -0.04
V 0.0000 0.0000 0.0000  1.50
V 0.7500 0.2500 0.5000  1.50

Summary:
The symmetry is I4_1/amd (141). The calculation puts the density of states at the Fermi level at 3.2 states/eV per cell. The energy above the most stable polymorph in this dataset is 0 meV per atom. The energy relative to the elements is 0.9697 eV/atom. The raw total energy is -4.9784 eV/atom.

This record from the Alexandria database describes a geometry-optimized Na3VB structure. The functional is GGA-PBE.

abc: 5.0576 5.0576 5.0576
angles: 90.00 90.00 90.00
Each line ends with the local moment (μB).
Atoms (fractional coordinates):
Na 0.0000 0.0000 0.5000  -0.02
Na 0.5000 0.0000 0.0000  -0.02
Na 0.0000 0.5000 0.0000  -0.02
B 0.0000 0.0000 0.0000  -0.45
V 0.5000 0.5000 0.5000  3.21

Summary:
The symmetry is Pm-3m (221). The calculation puts the density of states at the Fermi level at 4.3 states/eV per cell. The energy above the most stable polymorph in this dataset is 0 meV per atom. The energy relative to the elements is 1.3162 eV/atom. The raw total energy is -2.6344 eV/atom.

This record from the Alexandria database describes a geometry-optimized NaV3B structure. The functional is GGA-PBE.

abc: 4.1754 4.1754 4.1754
angles: 90.00 90.00 90.00
Atoms (fractional coordinates):
V 0.5000 0.0000 0.0000
V 0.0000 0.0000 0.5000
V 0.0000 0.5000 0.0000
B 0.0000 0.0000 0.0000
Na 0.5000 0.5000 0.5000

Summary:
The symmetry is Pm-3m (221). The calculation puts the density of states at the Fermi level at 5.4 states/eV per cell. The energy above the most stable polymorph in this dataset is 0 meV per atom. The energy relative to the elements is 0.5931 eV/atom. The raw total energy is -6.4774 eV/atom.

This record from the Alexandria database describes a geometry-optimized Na3VB structure. The functional is GGA-PBE.

abc: 5.5908 5.5908 5.5908
angles: 90.00 90.00 90.00
Each line ends with the local moment (μB).
Atoms (fractional coordinates):
Na 0.0000 0.0000 0.5000  0.04
Na 0.0000 0.5000 0.0000  0.04
Na 0.5000 0.0000 0.0000  0.04
V 0.0000 0.0000 0.0000  3.39
B 0.5000 0.5000 0.5000  -0.07

Summary:
The symmetry is Pm-3m (221). The calculation puts the density of states at the Fermi level at 9.2 states/eV per cell. The energy above the most stable polymorph in this dataset is 567 meV per atom. The energy relative to the elements is 1.8830 eV/atom. The raw total energy is -2.0676 eV/atom.

This record from the Alexandria database describes a geometry-optimized NaVB2 structure. The functional is GGA-PBE.

abc: 3.9568 3.9568 3.9568
angles: 60.00 60.00 60.00
Each line ends with the local moment (μB).
Atoms (fractional coordinates):
B 0.7500 0.7500 0.7500  -0.03
B 0.2500 0.2500 0.2500  -0.03
Na 0.0000 0.0000 0.0000  0.00
V 0.5000 0.5000 0.5000  1.41

Summary:
The symmetry is Fm-3m (225). The calculation puts the density of states at the Fermi level at 2.7 states/eV per cell. The energy above the most stable polymorph in this dataset is 116 meV per atom. The energy relative to the elements is 1.0855 eV/atom. The raw total energy is -4.8626 eV/atom.

This record from the Alexandria database describes a geometry-optimized Na2BW structure. The functional is GGA-PBE.

abc: 10.1154 10.1154 7.4522
angles: 47.26 47.26 90.00
Each line ends with the local moment (μB).
Atoms (fractional coordinates):
B 0.2500 0.7500 0.5000  -0.08
B 0.5000 0.5000 0.0000  -0.08
Na 0.3750 0.5366 0.7500  0.00
Na 0.2866 0.6250 0.2500  0.00
Na 0.8750 0.7134 0.7500  0.00
Na 0.4634 0.1250 0.2500  0.00
W 0.7500 0.2500 0.5000  1.99
W 0.0000 0.0000 0.0000  1.99

Summary:
The symmetry is I-42d (122). The calculation puts the density of states at the Fermi level at 4.1 states/eV per cell. The energy relative to the elements is 1.3508 eV/atom. The raw total energy is -4.2163 eV/atom.

This record from the Alexandria database describes a geometry-optimized Na2BW2 structure. The functional is GGA-PBE.

abc: 5.7400 5.7400 5.6188
angles: 90.00 90.00 90.00
Each line ends with the local moment (μB).
Atoms (fractional coordinates):
W 0.1614 0.3386 0.0000  0.34
W 0.3386 0.8386 0.0000  0.34
W 0.8386 0.6614 0.0000  0.34
W 0.6614 0.1614 0.0000  0.34
Na 0.8250 0.3250 0.5000  0.01
Na 0.6750 0.8250 0.5000  0.01
Na 0.1750 0.6750 0.5000  0.01
Na 0.3250 0.1750 0.5000  0.01
B 0.5000 0.5000 0.0000  -0.01
B 0.0000 0.0000 0.0000  -0.01

Summary:
The symmetry is P4/mbm (127). The calculation puts the density of states at the Fermi level at 2.8 states/eV per cell. The energy above the most stable polymorph in this dataset is 0 meV per atom. The energy relative to the elements is 0.7435 eV/atom. The raw total energy is -6.3009 eV/atom.

This record from the Alexandria database describes a geometry-optimized Na2BW2 structure. The functional is GGA-PBE.

abc: 5.6509 5.6509 4.6978
angles: 90.00 90.00 90.00
Each line ends with the local moment (μB).
Atoms (fractional coordinates):
B 0.5000 0.5000 0.5000  0.02
Na 0.5000 0.0000 0.0000  0.02
Na 0.0000 0.5000 0.0000  0.02
W 0.0000 0.0000 0.5000  -1.07
W 0.0000 0.0000 0.0000  1.17

Summary:
The symmetry is P4/mmm (123). The calculation puts the density of states at the Fermi level at 5.0 states/eV per cell. The energy above the most stable polymorph in this dataset is 1939 meV per atom. The energy relative to the elements is 2.6827 eV/atom. The raw total energy is -4.3617 eV/atom.

This record from the Alexandria database describes a geometry-optimized NaBW3 structure. The functional is GGA-PBE.

abc: 4.4437 4.4437 4.4437
angles: 90.00 90.00 90.00
Atoms (fractional coordinates):
B 0.5000 0.5000 0.5000
W 0.0000 0.0000 0.5000
W 0.5000 0.0000 0.0000
W 0.0000 0.5000 0.0000
Na 0.0000 0.0000 0.0000

Summary:
The symmetry is Pm-3m (221). The calculation puts the density of states at the Fermi level at 5.8 states/eV per cell. The energy above the most stable polymorph in this dataset is 2925 meV per atom. The energy relative to the elements is 3.8201 eV/atom. The raw total energy is -5.5511 eV/atom.

This record from the Alexandria database describes a geometry-optimized Na2BW2 structure. The functional is GGA-PBE.

abc: 3.1446 3.1446 8.2929
angles: 79.07 79.07 90.00
Atoms (fractional coordinates):
B 0.0000 0.0000 0.0000
Na 0.2500 0.7500 0.5000
Na 0.7500 0.2500 0.5000
W 0.5731 0.5731 0.8538
W 0.4269 0.4269 0.1462

Summary:
The symmetry is I4/mmm (139). The calculation puts the density of states at the Fermi level at 1.8 states/eV per cell. The energy above the most stable polymorph in this dataset is 601 meV per atom. The energy relative to the elements is 1.3441 eV/atom. The raw total energy is -5.7003 eV/atom.

This record from the Alexandria database describes a geometry-optimized NaBW3 structure. The functional is GGA-PBE.

abc: 4.2817 4.2817 4.2817
angles: 90.00 90.00 90.00
Atoms (fractional coordinates):
B 0.0000 0.0000 0.0000
W 0.0000 0.5000 0.0000
W 0.0000 0.0000 0.5000
W 0.5000 0.0000 0.0000
Na 0.5000 0.5000 0.5000

Summary:
The symmetry is Pm-3m (221). The calculation puts the density of states at the Fermi level at 5.6 states/eV per cell. The energy above the most stable polymorph in this dataset is 0 meV per atom. The energy relative to the elements is 0.8949 eV/atom. The raw total energy is -8.4763 eV/atom.

This record from the Alexandria database describes a geometry-optimized Na3YB structure. The functional is GGA-PBE.

abc: 6.4891 6.4891 6.4891
angles: 90.00 90.00 90.00
Each line ends with the local moment (μB).
Atoms (fractional coordinates):
Na 0.5000 0.0000 0.0000  0.03
Na 0.0000 0.0000 0.5000  0.03
Na 0.0000 0.5000 0.0000  0.03
B 0.5000 0.5000 0.5000  -0.33
Y 0.0000 0.0000 0.0000  0.58

Summary:
The symmetry is Pm-3m (221). The calculation puts the density of states at the Fermi level at 8.1 states/eV per cell. The energy above the most stable polymorph in this dataset is 983 meV per atom. The energy relative to the elements is 1.9313 eV/atom. The raw total energy is -1.4884 eV/atom.

This record from the Alexandria database describes a geometry-optimized NaYB2 structure. The functional is GGA-PBE.

abc: 4.4343 4.4343 4.4343
angles: 60.00 60.00 60.00
Atoms (fractional coordinates):
Na 0.0000 0.0000 0.0000
B 0.7500 0.7500 0.7500
B 0.2500 0.2500 0.2500
Y 0.5000 0.5000 0.5000

Summary:
The symmetry is Fm-3m (225). The calculation puts the density of states at the Fermi level at 0.9 states/eV per cell. The energy above the most stable polymorph in this dataset is 0 meV per atom. The energy relative to the elements is 0.7562 eV/atom. The raw total energy is -4.5283 eV/atom.

This record from the Alexandria database describes a geometry-optimized NaYB12 structure. The functional is GGA-PBE.

abc: 4.1315 4.1315 8.2690
angles: 90.00 90.00 90.00
Atoms (fractional coordinates):
B 0.5000 0.5000 0.9011
B 0.2006 0.5000 0.7528
B 0.5000 0.2006 0.7528
B 0.7994 0.5000 0.7528
B 0.7994 0.5000 0.2472
B 0.5000 0.7994 0.7528
B 0.5000 0.5000 0.0989
B 0.5000 0.5000 0.6015
B 0.5000 0.2006 0.2472
B 0.2006 0.5000 0.2472
B 0.5000 0.5000 0.3985
B 0.5000 0.7994 0.2472
Y 0.0000 0.0000 0.0000
Na 0.0000 0.0000 0.5000

Summary:
The symmetry is P4/mmm (123). The calculation puts the density of states at the Fermi level at 1.0 states/eV per cell. The energy relative to the elements is -0.2844 eV/atom. The raw total energy is -6.5639 eV/atom.

This record from the Alexandria database describes a geometry-optimized Na2YB structure. The functional is GGA-PBE.

abc: 3.9194 3.9194 12.1015
angles: 80.68 80.68 90.00
Atoms (fractional coordinates):
B 0.2500 0.7500 0.5000
B 0.5000 0.5000 0.0000
Na 0.3750 0.4066 0.7500
Na 0.1566 0.6250 0.2500
Na 0.5934 0.1250 0.2500
Na 0.8750 0.8434 0.7500
Y 0.0000 0.0000 0.0000
Y 0.7500 0.2500 0.5000

Summary:
The symmetry is I-42d (122). The calculation puts the density of states at the Fermi level at 6.1 states/eV per cell. The energy relative to the elements is 0.6278 eV/atom. The raw total energy is -3.3171 eV/atom.

This record from the Alexandria database describes a geometry-optimized NaY2B2 structure. The functional is GGA-PBE.

abc: 4.9890 4.9890 5.2971
angles: 61.91 61.91 90.00
Atoms (fractional coordinates):
Y 0.2500 0.7500 0.5000
Y 0.7500 0.2500 0.5000
B 0.6026 0.6026 0.7947
B 0.3974 0.3974 0.2053
Na 0.0000 0.0000 0.0000

Summary:
The symmetry is I4/mmm (139). The calculation puts the density of states at the Fermi level at 5.3 states/eV per cell. The energy above the most stable polymorph in this dataset is 384 meV per atom. The energy relative to the elements is 0.3828 eV/atom. The raw total energy is -5.1376 eV/atom.

This record from the Alexandria database describes a geometry-optimized NaY3B structure. The functional is GGA-PBE.

abc: 5.3497 5.3497 5.3497
angles: 90.00 90.00 90.00
Each line ends with the local moment (μB).
Atoms (fractional coordinates):
B 0.5000 0.5000 0.5000  -0.04
Y 0.0000 0.0000 0.5000  0.23
Y 0.5000 0.0000 0.0000  0.24
Y 0.0000 0.5000 0.0000  0.27
Na 0.0000 0.0000 0.0000  0.05

Summary:
The symmetry is Pm-3m (221). The calculation puts the density of states at the Fermi level at 8.1 states/eV per cell. The energy above the most stable polymorph in this dataset is 1605 meV per atom. The energy relative to the elements is 1.7231 eV/atom. The raw total energy is -3.7546 eV/atom.

This record from the Alexandria database describes a geometry-optimized NaY3B structure. The functional is GGA-PBE.

abc: 5.1993 5.1993 5.1993
angles: 90.00 90.00 90.00
Atoms (fractional coordinates):
Y 0.5000 0.0000 0.0000
Y 0.0000 0.0000 0.5000
Y 0.0000 0.5000 0.0000
Na 0.5000 0.5000 0.5000
B 0.0000 0.0000 0.0000

Summary:
The symmetry is Pm-3m (221). The calculation puts the density of states at the Fermi level at 9.7 states/eV per cell. The energy above the most stable polymorph in this dataset is 0 meV per atom. The energy relative to the elements is 0.1178 eV/atom. The raw total energy is -5.3599 eV/atom.

This record from the Alexandria database describes a geometry-optimized NaYB2 structure. The functional is GGA-PBE.

abc: 3.9439 3.9439 8.8176
angles: 77.08 77.08 90.00
Atoms (fractional coordinates):
B 0.3747 0.6250 0.2500
B 0.3750 0.6247 0.7500
B 0.8750 0.6253 0.7500
B 0.3753 0.1250 0.2500
Y 0.7500 0.2500 0.5000
Y 0.0000 0.0000 0.0000
Na 0.5000 0.5000 0.0000
Na 0.2500 0.7500 0.5000

Summary:
The symmetry is I4_1/amd (141). The calculation puts the density of states at the Fermi level at 4.9 states/eV per cell. The energy above the most stable polymorph in this dataset is 328 meV per atom. The energy relative to the elements is 1.0838 eV/atom. The raw total energy is -4.2006 eV/atom.